Density functional theory data (GGA-PBE) for TaZn2CSe after structural relaxation.

## Properties
Total moment: 1.4 μB per formula unit
Crystal system: tetragonal
ΔE_f (raw): 1.791 eV per atom
ρ: 5.0 g/cm³

Structure (POSCAR):
```
TaZn2CSe
1.0
-3.073 -4.216 0.540
0.660 -1.077 -4.658
4.190 -2.892 1.262
Zn C Se Ta
2 1 1 1
direct
0.000 0.000 0.500
0.500 0.000 0.000
0.500 0.500 0.500
0.000 0.500 0.000
0.000 0.000 0.000
```